VASP calculation (PBE) on an optimized crystal structure of LaSm3Er7.

Cell: 6.9619 5.5293 9.9501 Å, 90.00 109.55 90.00°
With the nearest neighbours (Å) after each atom.
Atoms (fractional coordinates):
La 0.0000 0.0000 0.0000  2 Sm 3.48, 10 Er 3.55-3.81
Sm 0.2811 0.5000 0.4970  1 Sm 3.03, 2 Er 3.33-3.35
Sm 0.5000 0.0000 0.0000  2 La 3.48, 10 Er 3.50-3.83
Sm 0.7189 0.5000 0.5030  1 Sm 3.03, 2 Er 3.33-3.35
Er 0.0000 0.0000 0.5000  4 Sm 3.39, 2 Er 3.80
Er 0.1458 0.5000 0.7884  3 Er 3.31-3.57, 2 Sm 3.33-3.35
Er 0.3238 0.5000 0.1411  5 Er 3.29-3.57, 3 Sm 3.50-3.65, 2 La 3.55
Er 0.4234 0.0000 0.3310  3 Er 3.17-3.29, 5 Sm 3.51-3.53
Er 0.5766 0.0000 0.6690  3 Er 3.17-3.29, 5 Sm 3.51-3.53
Er 0.6762 0.5000 0.8589  5 Er 3.29-3.57, 3 Sm 3.50-3.65, 2 La 3.55
Er 0.8542 0.5000 0.2116  3 Er 3.31-3.57, 2 Sm 3.33-3.35

Properties
As for the crystal system: monoclinic. As for the symmetry: P2/m, No. 10. The calculation puts the raw total energy at -4.488 eV per atom. As for the density of states at the Fermi level: 17.399 states/eV per cell.